Crystalline Na3Zn2CoF9 at its relaxed geometry, computed with PBE with a Hubbard U.

SG: P-3m1, No. 164
uncorrected energy: -4.3028 eV/atom

Structure (extended XYZ):
```
15
Lattice="5.728 0.000 0.000 -2.864 4.961 0.000 0.000 0.000 7.034" Properties=species:S:1:pos:R:3 pbc="T T T"
Na 0.000 0.000 0.000
Na 0.000 3.307 4.479
Na 2.864 1.654 2.555
Zn 0.000 3.307 1.150
Zn 2.864 1.654 5.884
Co 0.000 0.000 3.517
F -1.432 2.480 0.000
F 0.000 1.676 2.378
F -1.413 4.123 2.378
F 1.451 0.838 4.657
F 2.864 0.000 0.000
F 1.432 2.480 0.000
F 1.413 4.123 2.378
F 4.277 0.838 4.657
F 2.864 3.285 4.657
```